Record 1
## Li2Mg2CdCu2 (PBE-GGA)

Data for crystalline Li2Mg2CdCu2 at its relaxed geometry.

Unit cell a=9.4404 b=4.3700 c=5.6922 alpha=90.00 beta=90.92 gamma=90.00
Positions (direct):
Li (0.0935, 0.0000, 0.1868)
Li (0.4065, 0.5000, 0.8132)
Li (0.5935, 0.5000, 0.1868)
Li (0.9065, 0.0000, 0.8132)
Mg (0.2029, 0.0000, 0.6892)
Mg (0.2971, 0.5000, 0.3108)
Mg (0.7029, 0.5000, 0.6892)
Mg (0.7971, 0.0000, 0.3108)
Cd (0.0000, 0.5000, 0.5000)
Cd (0.5000, 0.0000, 0.5000)
Cu (0.1253, 0.5000, 0.9351)
Cu (0.3747, 0.0000, 0.0649)
Cu (0.6253, 0.0000, 0.9351)
Cu (0.8747, 0.5000, 0.0649)

Output
uncorrected energy: -2.395 eV/atom
density: 4.3 g/cm3
calculated volume: 16.8 Å³ per atom
Fermi-level density of states: 2.1 states/eV/f.u.



Record 2
## BaTl3Sn3 (PBE-GGA)

Data for crystalline BaTl3Sn3 at its relaxed geometry.

Unit cell a=8.2364 b=8.2364 c=8.2364 alpha=90.00 beta=90.00 gamma=90.00
Positions (direct):
Ba (0.0000, 0.0000, 0.0000)
Ba (0.5000, 0.5000, 0.5000)
Tl (0.0000, 0.2500, 0.5000)
Tl (0.0000, 0.7500, 0.5000)
Tl (0.2500, 0.5000, 0.0000)
Tl (0.5000, 0.0000, 0.2500)
Tl (0.5000, 0.0000, 0.7500)
Tl (0.7500, 0.5000, 0.0000)
Sn (0.0000, 0.5000, 0.2500)
Sn (0.0000, 0.5000, 0.7500)
Sn (0.2500, 0.0000, 0.5000)
Sn (0.5000, 0.2500, 0.0000)
Sn (0.5000, 0.7500, 0.0000)
Sn (0.7500, 0.0000, 0.5000)

Output
density: 6.6 g/cm3
calculated volume: 39.9 Å³ per atom
Fermi-level density of states: 2.4 states/eV/f.u.
energy relative to the lowest polymorph listed for this composition: 0.219 eV per atom



Record 3
## Sr2HfMgN (PBE-GGA)

Data for crystalline Sr2HfMgN at its relaxed geometry.

Unit cell a=5.6364 b=5.6364 c=4.2318 alpha=90.00 beta=90.00 gamma=90.00
Positions (direct):
Sr (0.0000, 0.5000, 0.0000)
Sr (0.5000, 0.0000, 0.0000)
Hf (0.0000, 0.0000, 0.5000)
Mg (0.5000, 0.5000, 0.5000)
N (0.0000, 0.0000, 0.0000)

Output
density: 4.8 g/cm3
calculated volume: 26.9 Å³ per atom
formation energy (no corrections): -0.3505 eV/atom
Fermi-level density of states: 4.4 states/eV/f.u.
energy relative to the lowest polymorph listed for this composition: 0.000 eV per atom



Record 4
## ZnSb2Pt (PBE-GGA)

Data for crystalline ZnSb2Pt at its relaxed geometry.

Unit cell a=5.8879 b=7.7387 c=4.8240 alpha=90.00 beta=125.01 gamma=90.00
Positions (direct):
Zn (0.0000, 0.0000, 0.0000)
Zn (0.5000, 0.5000, 0.0000)
Sb (0.2500, 0.2500, 0.5000)
Sb (0.2500, 0.7500, 0.5000)
Sb (0.7500, 0.2500, 0.5000)
Sb (0.7500, 0.7500, 0.5000)
Pt (0.0000, 0.5000, 0.0000)
Pt (0.5000, 0.0000, 0.0000)

Output
density: 9.3 g/cm3
calculated volume: 22.5 Å³ per atom
formation energy (no corrections): -0.0056 eV/atom
Fermi-level density of states: 1.1 states/eV/f.u.



Record 5
## Be2P2Au (PBE-GGA)

Data for crystalline Be2P2Au at its relaxed geometry.

Unit cell a=7.0313 b=7.0313 c=2.7411 alpha=90.00 beta=90.00 gamma=90.00
Positions (direct):
Be (0.1315, 0.3685, 0.0000)
Be (0.3685, 0.8685, 0.0000)
Be (0.6315, 0.1315, 0.0000)
Be (0.8685, 0.6315, 0.0000)
P (0.1679, 0.6679, 0.5000)
P (0.3321, 0.1679, 0.5000)
P (0.6679, 0.8321, 0.5000)
P (0.8321, 0.3321, 0.5000)
Au (0.0000, 0.0000, 0.5000)
Au (0.5000, 0.5000, 0.5000)

Output
density: 6.8 g/cm3
calculated volume: 13.6 Å³ per atom
Fermi-level density of states: 1.1 states/eV/f.u.
energy relative to the lowest polymorph listed for this composition: 0.236 eV per atom



Record 6
## Na2LiCeCl6 (PBE-GGA)

Data for crystalline Na2LiCeCl6 at its relaxed geometry.

Unit cell a=7.4092 b=7.4092 c=7.4092 alpha=60.00 beta=60.00 gamma=60.00
Positions (direct):
Na (0.2500, 0.2500, 0.2500)
Na (0.7500, 0.7500, 0.7500)
Li (0.0000, 0.0000, 0.0000)
Ce (0.5000, 0.5000, 0.5000)
Cl (0.2405, 0.2405, 0.7595)
Cl (0.2405, 0.7595, 0.2405)
Cl (0.2405, 0.7595, 0.7595)
Cl (0.7595, 0.2405, 0.2405)
Cl (0.7595, 0.2405, 0.7595)
Cl (0.7595, 0.7595, 0.2405)

Output
density: 2.3 g/cm3
calculated volume: 28.8 Å³ per atom
formation energy (no corrections): -1.8120 eV/atom
Fermi-level density of states: 8.2 states/eV/f.u.
energy relative to the lowest polymorph listed for this composition: 0.128 eV per atom



Record 7
## AcYCu2Ge2 (PBE-GGA)

Data for crystalline AcYCu2Ge2 at its relaxed geometry.

Unit cell a=4.3320 b=4.3320 c=7.9675 alpha=90.00 beta=90.00 gamma=120.00
Positions (direct):
Ac (0.0000, 0.0000, 0.0000)
Y (0.0000, 0.0000, 0.5000)
Cu (0.3333, 0.6667, 0.7127)
Cu (0.6667, 0.3333, 0.2873)
Ge (0.3333, 0.6667, 0.2745)
Ge (0.6667, 0.3333, 0.7255)

Output
uncorrected energy: -5.321 eV/atom
density: 7.5 g/cm3
calculated volume: 21.6 Å³ per atom
Fermi-level density of states: 1.8 states/eV/f.u.



Record 8
## KSrOs3 (PBE-GGA)

Data for crystalline KSrOs3 at its relaxed geometry.

Unit cell a=5.1739 b=5.1739 c=5.1739 alpha=90.00 beta=90.00 gamma=90.00
Positions (direct):
K (0.0000, 0.0000, 0.0000)
Sr (0.5000, 0.5000, 0.5000)
Os (0.0000, 0.5000, 0.5000)
Os (0.5000, 0.0000, 0.5000)
Os (0.5000, 0.5000, 0.0000)

Output
density: 8.4 g/cm3
calculated volume: 27.7 Å³ per atom
Fermi-level density of states: 6.4 states/eV/f.u.
energy relative to the lowest polymorph listed for this composition: 0.088 eV per atom